Here is a relaxed Rb2PtC4N4Cl2 crystal from OQMD. Energies are from PBE.

Cell and atoms, written as POSCAR:
```
Rb2PtC4N4Cl2
1.0
6.791 0.000 0.000
2.747 8.921 0.000
2.333 -0.605 9.382
Rb Pt C N Cl
4 2 8 8 4
Direct
0.126 0.177 0.070
0.290 0.342 0.548
0.710 0.658 0.452
0.874 0.823 0.930
0.000 0.000 0.500
0.500 0.500 0.000
0.067 0.076 0.672
0.152 0.790 0.540
0.285 0.499 0.184
0.394 0.725 0.994
0.606 0.275 0.006
0.715 0.501 0.816
0.848 0.210 0.460
0.933 0.924 0.328
0.109 0.120 0.770
0.161 0.490 0.288
0.244 0.669 0.564
0.341 0.855 0.985
0.659 0.145 0.015
0.756 0.331 0.436
0.839 0.510 0.712
0.891 0.880 0.230
0.255 0.471 0.875
0.326 0.021 0.355
0.674 0.979 0.645
0.745 0.529 0.125
```

Calculated values
Energy in eV per atom: -6.5320
Calculated volume in Å³/f.u.: 284
Space-group type: P-1

---

Here is a relaxed PmTlBr crystal from OQMD. Energies are from PBE.

Cell and atoms, written as POSCAR:
```
PmTlBr
1.0
-1.780 1.786 8.205
1.780 -1.786 8.205
1.780 1.786 -8.205
Pm Tl Br
1 1 1
Direct
0.000 0.000 0.000
0.194 0.194 0.000
0.831 0.831 0.000
```

Calculated values
Energy in eV per atom: -3.1906
Calculated volume in Å³/f.u.: 104
Space-group type: Imm2

---

Here is a relaxed Dy3Lu3Sb2Os crystal from OQMD. Energies are from PBE.

Cell and atoms, written as POSCAR:
```
Dy3Lu3Sb2Os
1.0
8.067 0.000 0.000
-4.033 6.986 0.000
0.000 0.000 4.210
Dy Lu Sb Os
3 3 2 1
Direct
0.000 0.393 0.000
0.393 0.000 0.000
0.607 0.607 0.000
0.000 0.767 0.500
0.233 0.233 0.500
0.767 0.000 0.500
0.333 0.667 0.500
0.667 0.333 0.500
0.000 0.000 0.000
```

Calculated values
Energy in eV per atom: -5.9204
Calculated volume in Å³/f.u.: 237
Space-group type: P-62m

---

calculated volume of number 3 (Dy3Lu3Sb2Os)? 237 Å³/f.u.